1.
Below is a geometry-optimized YCoPSe2 structure, with properties calculated at the PBE level.

Cell: 5.3927 5.1897 5.3927 Å, 90.00 90.00 90.00°
With the nearest neighbours (Å) after each atom.
Sites, in units of the cell vectors:
Co 0.0000 0.5000 0.0000  2 Y 2.59
P 0.5000 0.5000 0.5000  8 Se 3.74, 4 Co 3.81
Se 0.0000 0.0000 0.5000  2 Y 2.70
Se 0.5000 0.0000 0.0000  2 Y 2.70
Y 0.0000 0.0000 0.0000  2 Co 2.59, 4 Se 2.70

Results
Energy relative to the elements, uncorrected, meV per atom: 883
Final energy, eV/atom: -4.307
Space-group type: P4/mmm (123)

***

2.
Below is a geometry-optimized CdCuSb4 structure, with properties calculated at the PBE level.

Cell: 6.1985 6.1985 6.1985 Å, 60.00 60.00 60.00°
With the nearest neighbours (Å) after each atom.
Sites, in units of the cell vectors:
Sb 0.3750 0.3750 0.3750  6 Sb 3.10
Sb 0.3750 0.8750 0.3750  6 Sb 3.10
Sb 0.3750 0.3750 0.8750  6 Sb 3.10
Sb 0.8750 0.3750 0.3750  6 Sb 3.10
Cu 0.0000 0.0000 0.0000  12 Sb 3.63, 4 Cd 3.80
Cd 0.7500 0.7500 0.7500  12 Sb 3.63, 4 Cu 3.80

Results
Energy relative to the elements, uncorrected, meV per atom: 525
Final energy, eV/atom: -3.059
Space-group type: F-43m (216)